# 1
A relaxed HPdI2 crystal, computed with GGA-PBE.

## Properties
space group = C2/m
density of states at the Fermi level = 0.63 states/eV per atom
spin magnetization = 0.53 μB/f.u.
energy = -11.310 eV per cell
mass density = 5.67 Mg/m³
crystal system = monoclinic

Lattice parameters (Å, degrees): 4.7441 4.7441 6.1058 92.27 92.27 50.44
Last column: nearest neighbours and their distance in Å.
Fractional positions:
H1 0.0000 0.0000 0.0000  2 I 1.94
Pd1 0.5000 0.5000 0.5000  4 I 2.76
I1 0.1332 0.1332 0.7518  1 H 1.94
I2 0.8668 0.8668 0.2482  1 H 1.94



# 2
A relaxed HPdI2 crystal, computed with GGA-PBE.

## Properties
space group = Fm-3m
density of states at the Fermi level = 1.66 states/eV per atom
spin magnetization = 2.06 μB/f.u.
energy = -8.454 eV per cell
mass density = 6.69 Mg/m³
crystal system = cubic

Lattice parameters (Å, degrees): 5.0239 5.0239 5.0239 60.00 60.00 60.00
Last column: nearest neighbours and their distance in Å.
Fractional positions:
H1 0.0000 0.0000 0.0000  8 I 3.08
Pd1 0.5000 0.5000 0.5000  8 I 3.08
I1 0.2500 0.2500 0.2500  4 H 3.08, 4 Pd 3.08
I2 0.7500 0.7500 0.7500  4 H 3.08, 4 Pd 3.08



# 3
A relaxed HPd2I crystal, computed with GGA-PBE.

## Properties
space group = Cm
density of states at the Fermi level = 0.45 states/eV per atom
spin magnetization = 0.00 μB/f.u.
energy = -14.851 eV per cell
mass density = 8.36 Mg/m³
crystal system = monoclinic

Lattice parameters (Å, degrees): 3.8695 3.8695 5.6831 95.74 95.74 53.20
Last column: nearest neighbours and their distance in Å.
Fractional positions:
H1 0.0000 0.0000 0.0000  3 Pd 1.70-1.85
Pd1 0.5502 0.5502 0.9095  2 H 1.85
Pd2 0.8712 0.8712 0.2385  1 H 1.70
I1 0.2154 0.2154 0.5655  6 Pd 2.84-2.94, 1 H 3.02



# 4
A relaxed H2PdI5 crystal, computed with GGA-PBE.

## Properties
space group = P1
density of states at the Fermi level = 0.14 states/eV per atom
spin magnetization = 0.00 μB/f.u.
energy = -19.601 eV per cell
mass density = 5.04 Mg/m³
crystal system = triclinic

Lattice parameters (Å, degrees): 5.9131 6.8149 7.2415 87.73 69.88 64.34
Last column: nearest neighbours and their distance in Å.
Fractional positions:
H1 0.0000 0.0000 0.0000  1 I 1.79
H2 0.4182 0.1152 0.4746  1 I 1.83
Pd1 0.1431 0.7396 0.4052  6 I 2.67-2.99
I1 0.0485 0.0882 0.2067  1 H 1.79
I2 0.2052 0.3914 0.6115  1 H 1.83
I3 0.4307 0.4845 0.0557  1 Pd 2.67
I4 0.6239 0.7733 0.4008  1 H 2.10
I5 0.8447 0.9824 0.7765  1 H 2.15



> Which value of density of states at the Fermi level does entry 2 give?

1.66 states/eV per atom



> Look up the spin magnetization of the first one.

0.53 μB/f.u.